The following is a GGA-PBE calculation of crystalline Pm6YHo2Th at its relaxed geometry, from the Alexandria database.

## Properties
Raw total energy, eV per atom: -5.01
Energy relative to the elements, eV/atom: 0.14

a b c (Å): 8.856 8.856 9.683
angles (deg): 93.89 93.89 116.54
Fractional positions:
1 Pm 0.012 0.573 0.186
2 Pm 0.111 0.761 0.558
3 Pm 0.239 0.889 0.942
4 Pm 0.295 0.515 0.381
5 Pm 0.427 0.988 0.314
6 Pm 0.485 0.705 0.119
7 Pm 0.515 0.295 0.881
8 Pm 0.573 0.012 0.686
9 Pm 0.705 0.485 0.619
10 Pm 0.761 0.111 0.058
11 Pm 0.889 0.239 0.442
12 Pm 0.988 0.427 0.814
13 Y 0.408 0.592 0.750
14 Y 0.592 0.408 0.250
15 Ho 0.201 0.294 0.050
16 Ho 0.294 0.201 0.550
17 Ho 0.706 0.799 0.450
18 Ho 0.799 0.706 0.950
19 Th 0.030 0.970 0.250
20 Th 0.970 0.030 0.750